Compound: Zn5Ga3Ag2
Source: Alexandria via LeMat-Bulk
Functional: PBE
Structure: optimized geometry

a = 10.415 Å, b = 12.717 Å, c = 5.414 Å
α = 90.00°, β = 90.00°, γ = 90.00°
Space group Ibam (No. 72)
Symmetry-distinct sites (fractional):
Zn1 0.000 0.000 0.250 [4 per cell]
Zn2 0.138 0.351 0.000 [8 per cell]
Zn3 0.243 0.000 0.250 [8 per cell]
Ga1 0.000 0.500 0.250 [4 per cell]
Ga2 0.055 0.168 0.000 [8 per cell]
Ag1 0.171 0.308 0.500 [8 per cell]

Summary:
- DFT formation energy (kJ/mol of formula units) = 99

***

Compound: Zn6GaAg4
Source: Alexandria via LeMat-Bulk
Functional: PBE
Structure: optimized geometry

a = 7.030 Å, b = 7.030 Å, c = 8.919 Å
α = 90.00°, β = 90.00°, γ = 90.00°
Space group I-42m (No. 121)
Symmetry-distinct sites (fractional):
Zn1 0.000 0.500 0.000 [4 per cell]
Zn2 0.134 0.134 0.265 [8 per cell]
Ga1 0.000 0.000 0.000 [2 per cell]
Ag1 0.190 0.190 0.557 [8 per cell]

Summary:
- DFT formation energy (kJ/mol of formula units) = 175

***

Compound: Zn5Ga2Ag4
Source: Alexandria via LeMat-Bulk
Functional: PBE
Structure: optimized geometry

a = 18.822 Å, b = 2.940 Å, c = 6.771 Å
α = 90.00°, β = 93.75°, γ = 90.00°
Space group C2/m (No. 12)
Symmetry-distinct sites (fractional):
Zn1 0.000 0.000 0.000 [2 per cell]
Zn2 0.132 0.500 0.036 [4 per cell]
Zn3 0.183 0.500 0.462 [4 per cell]
Ga1 0.230 0.000 0.819 [4 per cell]
Ag1 0.044 0.500 0.331 [4 per cell]
Ag2 0.091 0.000 0.691 [4 per cell]

Summary:
- DFT formation energy (kJ/mol of formula units) = 13

***

Compound: Zn12GaAg7
Source: Alexandria via LeMat-Bulk
Functional: PBE
Structure: optimized geometry

a = 11.0746 Å, b = 11.0746 Å, c = 9.1610 Å
α = 90.00°, β = 90.00°, γ = 120.00°
Space group R-3 (No. 148, hexagonal axes)
Symmetry-distinct sites (fractional):
Zn1 0.0187 0.7622 0.0203 [18 per cell]
Zn2 0.0592 0.5620 0.1201 [18 per cell]
Ga1 0.0000 0.0000 0.0000 [3 per cell]
Ag1 0.0000 0.0000 0.5000 [3 per cell]
Ag2 0.0643 0.8818 0.7491 [18 per cell]

Summary:
- DFT formation energy (kJ/mol of formula units) = -7

***

Compound: Zn3Ga3Ag
Source: Alexandria via LeMat-Bulk
Functional: PBE
Structure: optimized geometry

a = 7.6766 Å, b = 7.6766 Å, c = 14.7500 Å
α = 90.00°, β = 90.00°, γ = 120.00°
Space group R-3 (No. 148, hexagonal axes)
Symmetry-distinct sites (fractional):
Zn1 0.0141 0.6971 0.1949 [18 per cell]
Ga1 0.0353 0.2256 0.6391 [18 per cell]
Ag1 0.0000 0.0000 0.1014 [6 per cell]

Summary:
- DFT formation energy (kJ/mol of formula units) = 36

***

Compound: Zn6GaAg
Source: Alexandria via LeMat-Bulk
Functional: PBE
Structure: optimized geometry

a = 5.030 Å, b = 5.060 Å, c = 5.113 Å
α = 96.30°, β = 97.27°, γ = 94.29°
Space group P-1 (No. 2)
Symmetry-distinct sites (fractional):
Zn1 0.024 0.249 0.467 [2 per cell]
Zn2 0.249 0.040 0.967 [2 per cell]
Zn3 0.458 0.532 0.747 [2 per cell]
Ga1 0.000 0.500 0.000 [1 per cell]
Ag1 0.500 0.000 0.500 [1 per cell]

Summary:
- DFT formation energy (kJ/mol of formula units) = 12

***

Compound: Zn5Ga6Ag
Source: Alexandria via LeMat-Bulk
Functional: PBE
Structure: optimized geometry

a = 5.202 Å, b = 14.732 Å, c = 5.569 Å
α = 90.00°, β = 98.54°, γ = 90.00°
Space group C2/m (No. 12)
Symmetry-distinct sites (fractional):
Zn1 0.000 0.000 0.000 [2 per cell]
Zn2 0.000 0.332 0.500 [4 per cell]
Zn3 0.000 0.336 0.000 [4 per cell]
Ga1 0.006 0.168 0.248 [8 per cell]
Ga2 0.013 0.500 0.748 [4 per cell]
Ag1 0.000 0.000 0.500 [2 per cell]

Summary:
- DFT formation energy (kJ/mol of formula units) = 67

***

Compound: ZnGaAg5
Source: Alexandria via LeMat-Bulk
Functional: PBE
Structure: optimized geometry

a = 4.246 Å, b = 4.246 Å, c = 7.081 Å
α = 90.00°, β = 90.00°, γ = 90.00°
Space group P4/mmm (No. 123)
Symmetry-distinct sites (fractional):
Zn1 0.000 0.000 0.000 [1 per cell]
Ga1 0.500 0.500 0.500 [1 per cell]
Ag1 0.000 0.000 0.500 [1 per cell]
Ag2 0.000 0.500 0.224 [4 per cell]

Summary:
- DFT formation energy (kJ/mol of formula units) = 42

***

Compound: ZnGa2Ag4
Source: Alexandria via LeMat-Bulk
Functional: PBE
Structure: optimized geometry

a = 18.130 Å, b = 2.945 Å, c = 4.762 Å
α = 90.00°, β = 105.13°, γ = 90.00°
Space group C2/m (No. 12)
Symmetry-distinct sites (fractional):
Zn1 0.000 0.000 0.000 [2 per cell]
Ga1 0.223 0.500 0.722 [4 per cell]
Ag1 0.082 0.000 0.582 [4 per cell]
Ag2 0.136 0.500 0.136 [4 per cell]

Summary:
- DFT formation energy (kJ/mol of formula units) = -4

***

Compound: Zn6Ga5Ag
Source: Alexandria via LeMat-Bulk
Functional: PBE
Structure: optimized geometry

a = 5.095 Å, b = 14.865 Å, c = 5.466 Å
α = 90.00°, β = 94.98°, γ = 90.00°
Space group C2/m (No. 12)
Symmetry-distinct sites (fractional):
Zn1 0.001 0.000 0.249 [4 per cell]
Zn2 0.001 0.334 0.749 [8 per cell]
Ga1 0.000 0.168 0.000 [4 per cell]
Ga2 0.000 0.169 0.500 [4 per cell]
Ga3 0.000 0.500 0.500 [2 per cell]
Ag1 0.000 0.500 0.000 [2 per cell]

Summary:
- DFT formation energy (kJ/mol of formula units) = 64

***

Compound: ZnGa6Ag
Source: Alexandria via LeMat-Bulk
Functional: PBE
Structure: optimized geometry

a = 11.170 Å, b = 4.542 Å, c = 6.799 Å
α = 90.00°, β = 118.37°, γ = 90.00°
Space group C2/m (No. 12)
Symmetry-distinct sites (fractional):
Zn1 0.000 0.000 0.000 [2 per cell]
Ga1 0.120 0.500 0.979 [4 per cell]
Ga2 0.122 0.000 0.724 [4 per cell]
Ga3 0.221 0.000 0.374 [4 per cell]
Ag1 0.000 0.500 0.500 [2 per cell]

Summary:
- DFT formation energy (kJ/mol of formula units) = 27

***

Compound: Zn3GaAg4
Source: Alexandria via LeMat-Bulk
Functional: PBE
Structure: optimized geometry

a = 18.352 Å, b = 4.755 Å, c = 3.118 Å
α = 90.00°, β = 99.64°, γ = 90.00°
Space group C2/m (No. 12)
Symmetry-distinct sites (fractional):
Zn1 0.000 0.000 0.000 [2 per cell]
Zn2 0.245 0.000 0.245 [4 per cell]
Ga1 0.000 0.500 0.500 [2 per cell]
Ag1 0.122 0.000 0.622 [4 per cell]
Ag2 0.132 0.500 0.132 [4 per cell]

Summary:
- DFT formation energy (kJ/mol of formula units) = 10